(1)
## ScFeAu (PBE)

Data for a relaxed structure of ScFeAu.

abc: 3.0905 3.0905 6.4476
angles: 90.00 90.00 120.00
Closest atoms and distances in Å follow each position.
Element x y z (fractional)
Sc1 0.0000 0.0000 0.0000  3 Fe 2.74, 3 Au 2.90
Fe1 0.3333 0.6667 0.6783  3 Sc 2.74, 3 Au 2.74
Au1 0.6667 0.3333 0.3550  3 Fe 2.74, 3 Sc 2.90

E: -17.9 eV for the cell shown
calculated density: 9.27 g/cm3
space group: No. 156

***

(2)
## ScTiFe2Au (PBE)

Data for a relaxed structure of ScTiFe2Au.

abc: 4.6904 4.6904 4.8023
angles: 90.00 90.00 90.00
Closest atoms and distances in Å follow each position.
Element x y z (fractional)
Sc1 0.0000 0.0000 0.0000  2 Au 2.40
Ti1 0.5000 0.5000 0.0000  4 Sc 3.32, 8 Fe 3.36
Fe1 0.0000 0.5000 0.5000  2 Au 2.35
Fe2 0.5000 0.0000 0.5000  2 Au 2.35
Au1 0.0000 0.0000 0.5000  4 Fe 2.35, 2 Sc 2.40

E: -27.3 eV for the cell shown
calculated density: 6.31 g/cm3
space group: No. 123

***

(3)
## ScTl2FeAu (PBE)

Data for a relaxed structure of ScTl2FeAu.

abc: 5.0690 5.0690 4.5496
angles: 90.00 90.00 90.00
Closest atoms and distances in Å follow each position.
Element x y z (fractional)
Sc1 0.0000 0.0000 0.0000  2 Fe 2.27
Tl1 0.0000 0.5000 0.5000  2 Fe 2.53
Tl2 0.5000 0.0000 0.5000  2 Fe 2.53
Fe1 0.0000 0.0000 0.5000  2 Sc 2.27, 4 Tl 2.53
Au1 0.5000 0.5000 0.0000  8 Tl 3.41, 4 Sc 3.58

E: -21.9 eV for the cell shown
calculated density: 10.04 g/cm3
space group: No. 123

***

- Number 3 is which compound?
  ScTl2FeAu

***

Please write out number 2 again, unchanged.
## ScTiFe2Au (PBE)

Data for a relaxed structure of ScTiFe2Au.

abc: 4.6904 4.6904 4.8023
angles: 90.00 90.00 90.00
Closest atoms and distances in Å follow each position.
Element x y z (fractional)
Sc1 0.0000 0.0000 0.0000  2 Au 2.40
Ti1 0.5000 0.5000 0.0000  4 Sc 3.32, 8 Fe 3.36
Fe1 0.0000 0.5000 0.5000  2 Au 2.35
Fe2 0.5000 0.0000 0.5000  2 Au 2.35
Au1 0.0000 0.0000 0.5000  4 Fe 2.35, 2 Sc 2.40

E: -27.3 eV for the cell shown
calculated density: 6.31 g/cm3
space group: No. 123